Entry 1:
## Pa2TcRu (PBE)

Data for an optimized crystal structure of Pa2TcRu.

**E above lowest polymorph**: 0.057 eV/atom
**SG**: Fm-3m (225)

Lattice parameters (Å, degrees): 4.855 4.855 4.855 60.00 60.00 60.00
Fractional coordinates of all 4 atoms:
Pa: 0.250 0.250 0.250
Pa: 0.750 0.750 0.750
Tc: 0.000 0.000 0.000
Ru: 0.500 0.500 0.500

***

Entry 2:
## PaTcRu (PBE)

Data for an optimized crystal structure of PaTcRu.

**E above lowest polymorph**: 0.070 eV/atom
**SG**: Cmcm (63)

Lattice parameters (Å, degrees): 4.196 4.196 6.652 90.00 90.00 103.90
Fractional coordinates of all 6 atoms:
Pa: 0.000 0.000 0.000
Pa: 0.000 0.000 0.500
Tc: 0.302 0.698 0.750
Tc: 0.698 0.302 0.250
Ru: 0.309 0.691 0.250
Ru: 0.691 0.309 0.750

***

Entry 3:
## PaTcRu (PBE)

Data for an optimized crystal structure of PaTcRu.

**E above lowest polymorph**: 0.045 eV/atom
**SG**: I4mm (107)

Lattice parameters (Å, degrees): 4.798 4.798 4.798 134.62 134.62 66.12
Fractional coordinates of all 3 atoms:
Pa: 0.000 0.000 0.000
Tc: 0.305 0.305 0.000
Ru: 0.688 0.688 0.000

***

Entry 4:
## PaTc2Ru (PBE)

Data for an optimized crystal structure of PaTc2Ru.

**E above lowest polymorph**: 0.000 eV/atom
**SG**: P4/mmm (123)

Lattice parameters (Å, degrees): 4.045 4.045 4.131 90.00 90.00 90.00
Fractional coordinates of all 4 atoms:
Pa: 0.000 0.000 0.000
Tc: 0.000 0.500 0.500
Tc: 0.500 0.000 0.500
Ru: 0.500 0.500 0.000

***

Entry 5:
## PaTcRu (PBE)

Data for an optimized crystal structure of PaTcRu.

**E above lowest polymorph**: 0.000 eV/atom
**SG**: P6_3/mmc (194)

Lattice parameters (Å, degrees): 4.563 4.563 5.900 90.00 90.00 120.00
Fractional coordinates of all 6 atoms:
Pa: 0.333 0.667 0.250
Pa: 0.667 0.333 0.750
Tc: 0.333 0.667 0.750
Tc: 0.667 0.333 0.250
Ru: 0.000 0.000 0.000
Ru: 0.000 0.000 0.500

***

Entry 6:
## Pa3TcRu (PBE)

Data for an optimized crystal structure of Pa3TcRu.

**SG**: P2_1/c (14)

Lattice parameters (Å, degrees): 8.418 5.763 10.406 90.00 120.23 90.00
Fractional coordinates of all 20 atoms:
Pa: 0.132 0.017 0.307
Pa: 0.132 0.483 0.807
Pa: 0.299 0.550 0.231
Pa: 0.299 0.950 0.731
Pa: 0.306 0.032 0.047
Pa: 0.306 0.468 0.547
Pa: 0.694 0.532 0.453
Pa: 0.694 0.968 0.953
Pa: 0.701 0.050 0.269
Pa: 0.701 0.450 0.769
Pa: 0.868 0.517 0.193
Pa: 0.868 0.983 0.693
Tc: 0.471 0.149 0.393
Tc: 0.471 0.351 0.893
Tc: 0.529 0.649 0.107
Tc: 0.529 0.851 0.607
Ru: 0.006 0.249 0.494
Ru: 0.006 0.251 0.994
Ru: 0.994 0.749 0.006
Ru: 0.994 0.751 0.506

***

Let's list energy in order: -39.6; -59.0; -29.6; -39.8; -59.5; -197.6 eV per cell.
Let's list M_tot in order: 0.0; 0.0; 0.0; 0.0; 0.0; 0.0 μB/cell.